# K2MnH4I4O14, optimized geometry, DFT PBE with a Hubbard U
# - theoretical density (g/cm³) = 3.794
# - raw total energy (eV per formula unit) = -120.9
data_K2MnH4I4O14
_symmetry_space_group_name_H-M 'C 1 2 1'
_symmetry_Int_Tables_number 5
_cell_length_a 14.061
_cell_length_b 7.984
_cell_length_c 8.384
_cell_angle_alpha 90.00
_cell_angle_beta 126.10
_cell_angle_gamma 90.00
loop_
_symmetry_equiv_pos_as_xyz
'x,y,z'
'-x,y,-z'
'x+1/2,y+1/2,z'
'-x+1/2,y+1/2,-z'
loop_
_atom_site_label
_atom_site_fract_x
_atom_site_fract_y
_atom_site_fract_z
K1 0.000 0.000 0.000
K2 0.000 0.479 0.000
Mn1 0.000 0.543 0.500
H1 0.047 0.881 0.625
H2 0.049 0.208 0.474
I1 0.224 0.717 0.481
I2 0.238 0.734 0.983
O1 0.000 0.277 0.500
O2 0.000 0.814 0.500
O3 0.125 0.574 0.830
O4 0.134 0.120 0.421
O5 0.143 0.920 0.868
O6 0.144 0.526 0.464
O7 0.160 0.736 0.217
O8 0.181 0.242 0.128